(1)
The following is a GGA-PBE calculation of an optimized crystal structure of LaY2Al, from Alexandria.

Unit cell a=3.600 b=5.033 c=6.719 alpha=90.00 beta=103.73 gamma=90.00
Space group P2/m (No. 10)
One atom of each set of equivalent atoms:
La  0.000  0.000  0.000 x1
Y  0.403  0.500  0.725 x2
Al  0.000  0.000  0.500 x1

## Properties
ΔE_f ... -0.0802 eV/atom
V ... 29.56 Å³ per atom
Total moment ... 0.00 μB per cell

(2)
The following is a GGA-PBE calculation of an optimized crystal structure of La2Y6Al, from Alexandria.

Unit cell a=3.568 b=10.235 c=15.873 alpha=90.00 beta=90.00 gamma=90.00
Space group Immm (No. 71)
One atom of each set of equivalent atoms:
La  0.000  0.000  0.144 x4
Y  0.000  0.269  0.500 x4
Y  0.000  0.341  0.177 x8
Al  0.000  0.500  0.000 x2

## Properties
ΔE_f ... 0.0327 eV/atom
V ... 32.21 Å³ per atom
Total moment ... 0.00 μB per cell

(3)
The following is a GGA-PBE calculation of an optimized crystal structure of LaY3Al2, from Alexandria.

Unit cell a=5.163 b=9.736 c=6.603 alpha=90.00 beta=90.00 gamma=90.00
Space group Pmc2_1 (No. 26)
One atom of each set of equivalent atoms:
La  0.000  0.043  0.000 x2
Y  0.000  0.327  0.641 x2
Y  0.500  0.186  0.281 x2
Y  0.500  0.453  0.928 x2
Al  0.000  0.360  0.168 x2
Al  0.500  0.149  0.750 x2

## Properties
ΔE_f ... -0.2863 eV/atom
V ... 27.66 Å³ per atom
Total moment ... 0.00 μB per cell

(4)
The following is a GGA-PBE calculation of an optimized crystal structure of La14YAl, from Alexandria.

Unit cell a=7.314 b=7.314 c=10.337 alpha=90.00 beta=90.00 gamma=90.00
Space group P4/mmm (No. 123)
One atom of each set of equivalent atoms:
La  0.000  0.000  0.000 x1
La  0.000  0.500  0.000 x2
La  0.000  0.500  0.500 x2
La  0.240  0.240  0.259 x8
La  0.500  0.500  0.000 x1
Y  0.500  0.500  0.500 x1
Al  0.000  0.000  0.500 x1

## Properties
ΔE_f ... -0.0278 eV/atom
V ... 34.56 Å³ per atom
Total moment ... 0.00 μB per cell

(5)
The following is a GGA-PBE calculation of an optimized crystal structure of La2YAl2, from Alexandria.

Unit cell a=12.390 b=3.718 c=6.346 alpha=90.00 beta=100.06 gamma=90.00
Space group C2/m (No. 12)
One atom of each set of equivalent atoms:
La  0.128  0.000  0.072 x4
Y  0.000  0.500  0.500 x2
Al  0.204  0.000  0.608 x4

## Properties
ΔE_f ... -0.1962 eV/atom
V ... 28.79 Å³ per atom
Total moment ... 0.00 μB per cell

(6)
The following is a GGA-PBE calculation of an optimized crystal structure of LaY3Al, from Alexandria.

Unit cell a=3.687 b=8.751 c=9.792 alpha=104.15 beta=100.85 gamma=90.02
Space group P-1 (No. 2)
One atom of each set of equivalent atoms:
La  0.101  0.048  0.201 x2
Y  0.301  0.192  0.602 x2
Y  0.316  0.612  0.631 x2
Y  0.499  0.294  0.999 x2
Al  0.097  0.560  0.195 x2

## Properties
ΔE_f ... -0.1489 eV/atom
V ... 30.05 Å³ per atom
Total moment ... 0.00 μB per cell

(7)
The following is a GGA-PBE calculation of an optimized crystal structure of LaYAl3, from Alexandria.

Unit cell a=5.327 b=5.327 c=5.327 alpha=90.00 beta=90.00 gamma=90.00
Space group Pm-3m (No. 221)
One atom of each set of equivalent atoms:
La  0.000  0.000  0.000 x1
Y  0.500  0.500  0.500 x1
Al  0.000  0.500  0.500 x3

## Properties
ΔE_f ... 0.4567 eV/atom
V ... 30.23 Å³ per atom
Total moment ... 0.00 μB per cell

(8)
The following is a GGA-PBE calculation of an optimized crystal structure of LaYAl2, from Alexandria.

Unit cell a=3.702 b=3.713 c=7.393 alpha=90.00 beta=90.00 gamma=90.00
Space group Pmmm (No. 47)
One atom of each set of equivalent atoms:
La  0.000  0.000  0.000 x1
Y  0.000  0.000  0.500 x1
Al  0.500  0.500  0.273 x2

## Properties
ΔE_f ... -0.3942 eV/atom
V ... 25.40 Å³ per atom
Total moment ... 0.00 μB per cell

(9)
The following is a GGA-PBE calculation of an optimized crystal structure of LaY5Al4, from Alexandria.

Unit cell a=3.582 b=3.582 c=20.049 alpha=90.00 beta=90.00 gamma=90.00
Space group P4/mmm (No. 123)
One atom of each set of equivalent atoms:
La  0.000  0.000  0.000 x1
Y  0.500  0.500  0.136 x2
Y  0.500  0.500  0.318 x2
Y  0.500  0.500  0.500 x1
Al  0.000  0.000  0.226 x2
Al  0.000  0.000  0.409 x2

## Properties
ΔE_f ... -0.3313 eV/atom
V ... 25.73 Å³ per atom
Total moment ... 0.00 μB per cell

(10)
The following is a GGA-PBE calculation of an optimized crystal structure of LaY2Al, from Alexandria.

Unit cell a=4.652 b=4.652 c=22.376 alpha=90.00 beta=90.00 gamma=90.00
Space group I-42d (No. 122)
One atom of each set of equivalent atoms:
La  0.000  0.000  0.000 x4
Y  0.229  0.250  0.625 x8
Al  0.000  0.000  0.500 x4

## Properties
ΔE_f ... 0.1197 eV/atom
V ... 30.27 Å³ per atom
Total moment ... 0.00 μB per cell

(11)
The following is a GGA-PBE calculation of an optimized crystal structure of LaY2Al, from Alexandria.

Unit cell a=6.748 b=11.002 c=3.428 alpha=90.00 beta=112.92 gamma=90.00
Space group C2/m (No. 12)
One atom of each set of equivalent atoms:
La  0.000  0.000  0.000 x2
Y  0.250  0.250  0.500 x4
Al  0.000  0.500  0.000 x2

## Properties
ΔE_f ... 0.0144 eV/atom
V ... 29.30 Å³ per atom
Total moment ... 0.00 μB per cell

(12)
The following is a GGA-PBE calculation of an optimized crystal structure of LaYAl2, from Alexandria.

Unit cell a=3.417 b=3.417 c=8.766 alpha=90.00 beta=90.00 gamma=90.00
Space group P4mm (No. 99)
One atom of each set of equivalent atoms:
La  0.000  0.000  0.000 x1
Y  0.500  0.500  0.349 x1
Al  0.000  0.000  0.584 x1
Al  0.500  0.500  0.743 x1

## Properties
ΔE_f ... -0.1803 eV/atom
V ... 25.59 Å³ per atom
Total moment ... 0.00 μB per cell

(13)
The following is a GGA-PBE calculation of an optimized crystal structure of LaYAl, from Alexandria.

Unit cell a=6.746 b=6.746 c=8.073 alpha=90.00 beta=90.29 gamma=90.00
Space group C2/m (No. 12)
One atom of each set of equivalent atoms:
La  0.248  0.000  0.145 x4
Y  0.000  0.250  0.500 x4
Al  0.248  0.500  0.251 x4

## Properties
ΔE_f ... -0.2098 eV/atom
V ... 30.61 Å³ per atom
Total moment ... 3.17 μB per cell

(14)
The following is a GGA-PBE calculation of an optimized crystal structure of LaYAl, from Alexandria.

Unit cell a=7.319 b=7.319 c=7.319 alpha=90.00 beta=90.00 gamma=90.00
Space group F-43m (No. 216)
One atom of each set of equivalent atoms:
La  0.000  0.000  0.000 x4
Y  0.000  0.000  0.500 x4
Al  0.250  0.250  0.750 x4

## Properties
ΔE_f ... -0.0518 eV/atom
V ... 32.68 Å³ per atom
Total moment ... 0.07 μB per cell

(15)
The following is a GGA-PBE calculation of an optimized crystal structure of LaYAl2, from Alexandria.

Unit cell a=3.6930 b=3.6930 c=28.1550 alpha=90.00 beta=90.00 gamma=120.00
Space group R-3m (No. 166, hexagonal axes)
One atom of each set of equivalent atoms:
La  0.0000  0.0000  0.0000 x3
Y  0.0000  0.0000  0.5000 x3
Al  0.0000  0.0000  0.2470 x6

## Properties
ΔE_f ... -0.1116 eV/atom
V ... 27.71 Å³ per atom
Total moment ... 0.00 μB per cell

(16)
The following is a GGA-PBE calculation of an optimized crystal structure of LaY2Al, from Alexandria.

Unit cell a=4.780 b=4.780 c=9.931 alpha=90.00 beta=90.00 gamma=90.00
Space group I-4m2 (No. 119)
One atom of each set of equivalent atoms:
La  0.000  0.000  0.000 x2
Y  0.000  0.000  0.500 x2
Y  0.000  0.500  0.750 x2
Al  0.000  0.500  0.250 x2

## Properties
ΔE_f ... -0.1480 eV/atom
V ... 28.37 Å³ per atom
Total moment ... 0.00 μB per cell

(17)
The following is a GGA-PBE calculation of an optimized crystal structure of LaY2Al, from Alexandria.

Unit cell a=3.6346 b=3.6346 c=31.6843 alpha=90.00 beta=90.00 gamma=120.00
Space group R-3m (No. 166, hexagonal axes)
One atom of each set of equivalent atoms:
La  0.0000  0.0000  0.0000 x3
Y  0.0000  0.0000  0.2371 x6
Al  0.0000  0.0000  0.5000 x3

## Properties
ΔE_f ... -0.0746 eV/atom
V ... 30.21 Å³ per atom
Total moment ... 0.00 μB per cell

(18)
The following is a GGA-PBE calculation of an optimized crystal structure of LaY4Al4, from Alexandria.

Unit cell a=9.886 b=9.886 c=5.170 alpha=90.00 beta=90.00 gamma=90.00
Space group I4/m (No. 87)
One atom of each set of equivalent atoms:
La  0.000  0.000  0.000 x2
Y  0.114  0.353  0.000 x8
Al  0.076  0.178  0.500 x8

## Properties
ΔE_f ... -0.1877 eV/atom
V ... 28.07 Å³ per atom
Total moment ... 0.00 μB per cell

(19)
The following is a GGA-PBE calculation of an optimized crystal structure of LaYAl2, from Alexandria.

Unit cell a=3.536 b=4.921 c=6.284 alpha=90.00 beta=90.00 gamma=90.00
Space group Pmm2 (No. 25)
One atom of each set of equivalent atoms:
La  0.000  0.000  0.000 x1
Y  0.500  0.500  0.371 x1
Al  0.000  0.000  0.502 x1
Al  0.500  0.500  0.850 x1

## Properties
ΔE_f ... -0.0589 eV/atom
V ... 27.33 Å³ per atom
Total moment ... 0.00 μB per cell

(20)
The following is a GGA-PBE calculation of an optimized crystal structure of LaYAl2, from Alexandria.

Unit cell a=4.466 b=3.968 c=12.082 alpha=90.00 beta=90.00 gamma=90.00
Space group Amm2 (No. 38)
One atom of each set of equivalent atoms:
La  0.000  0.000  0.000 x2
Y  0.500  0.000  0.701 x2
Al  0.000  0.000  0.277 x2
Al  0.500  0.000  0.406 x2

## Properties
ΔE_f ... -0.3685 eV/atom
V ... 26.76 Å³ per atom
Total moment ... 0.00 μB per cell

(21)
The following is a GGA-PBE calculation of an optimized crystal structure of LaY3Al, from Alexandria.

Unit cell a=5.543 b=5.543 c=5.543 alpha=90.00 beta=90.00 gamma=90.00
Space group Pm-3m (No. 221)
One atom of each set of equivalent atoms:
La  0.000  0.000  0.000 x1
Y  0.000  0.000  0.500 x3
Al  0.500  0.500  0.500 x1

## Properties
ΔE_f ... 0.9298 eV/atom
V ... 34.05 Å³ per atom
Total moment ... 0.00 μB per cell

(22)
The following is a GGA-PBE calculation of an optimized crystal structure of LaY2Al, from Alexandria.

Unit cell a=3.829 b=5.304 c=11.668 alpha=90.00 beta=90.00 gamma=90.00
Space group Imm2 (No. 44)
One atom of each set of equivalent atoms:
La  0.000  0.000  0.000 x2
Y  0.000  0.000  0.572 x2
Y  0.000  0.500  0.787 x2
Al  0.000  0.500  0.276 x2

## Properties
ΔE_f ... -0.1578 eV/atom
V ... 29.62 Å³ per atom
Total moment ... 0.00 μB per cell

(23)
The following is a GGA-PBE calculation of an optimized crystal structure of La6YAl2, from Alexandria.

Unit cell a=13.258 b=3.841 c=12.006 alpha=90.00 beta=108.52 gamma=90.00
Space group C2/m (No. 12)
One atom of each set of equivalent atoms:
La  0.031  0.000  0.328 x4
La  0.181  0.500  0.877 x4
La  0.193  0.500  0.599 x4
Y  0.000  0.000  0.000 x2
Al  0.147  0.500  0.187 x4

## Properties
ΔE_f ... -0.1542 eV/atom
V ... 32.21 Å³ per atom
Total moment ... 0.00 μB per cell

(24)
The following is a GGA-PBE calculation of an optimized crystal structure of La15Y4Al, from Alexandria.

Unit cell a=5.161 b=5.161 c=26.007 alpha=90.00 beta=90.00 gamma=90.00
Space group P4/mmm (No. 123)
One atom of each set of equivalent atoms:
La  0.000  0.000  0.000 x1
La  0.000  0.000  0.196 x2
La  0.000  0.000  0.398 x2
La  0.000  0.500  0.093 x4
La  0.000  0.500  0.297 x4
La  0.000  0.500  0.500 x2
Y  0.500  0.500  0.196 x2
Y  0.500  0.500  0.399 x2
Al  0.500  0.500  0.000 x1

## Properties
ΔE_f ... -0.0198 eV/atom
V ... 34.64 Å³ per atom
Total moment ... 0.00 μB per cell

(25)
The following is a GGA-PBE calculation of an optimized crystal structure of LaY2Al, from Alexandria.

Unit cell a=4.876 b=4.876 c=4.821 alpha=90.00 beta=90.00 gamma=90.00
Space group P4/mmm (No. 123)
One atom of each set of equivalent atoms:
La  0.000  0.000  0.000 x1
Y  0.000  0.500  0.500 x2
Al  0.500  0.500  0.000 x1

## Properties
ΔE_f ... -0.1565 eV/atom
V ... 28.65 Å³ per atom
Total moment ... 0.11 μB per cell

(26)
The following is a GGA-PBE calculation of an optimized crystal structure of LaY2Al, from Alexandria.

Unit cell a=3.564 b=3.564 c=9.199 alpha=90.00 beta=90.00 gamma=90.00
Space group P4/mmm (No. 123)
One atom of each set of equivalent atoms:
La  0.000  0.000  0.000 x1
Y  0.500  0.500  0.295 x2
Al  0.000  0.000  0.500 x1

## Properties
ΔE_f ... -0.2028 eV/atom
V ... 29.21 Å³ per atom
Total moment ... 0.00 μB per cell